(1)
Density functional theory data (PBE-GGA) for crystalline KRb2Cu2F6 at its relaxed geometry.

Cell: 6.5366 6.5366 6.8615 Å, 114.29 114.29 58.15°
Fractional coordinates of all 11 atoms:
K 0.0000 0.0000 0.0000
Rb 0.2176 0.2176 0.6751
Rb 0.7824 0.7824 0.3249
Cu 0.4434 0.4434 0.2740
Cu 0.5566 0.5566 0.7260
F 0.2070 0.6645 0.6749
F 0.2579 0.2579 0.1295
F 0.3355 0.7930 0.3251
F 0.6645 0.2070 0.6749
F 0.7421 0.7421 0.8705
F 0.7930 0.3355 0.3251

Results
symmetry: C2/m
calculated density: 3409 kg/m³
energy: -4.135 eV/atom

---

(2)
Density functional theory data (PBE-GGA) for crystalline KRbCuF6 at its relaxed geometry.

Cell: 6.1856 6.1856 5.3589 Å, 90.03 90.03 120.11°
Fractional coordinates of all 9 atoms:
K 0.0000 0.0000 0.0000
Rb 0.3335 0.6665 0.5000
Cu 0.6670 0.3330 0.0000
F 0.4204 0.0839 0.8009
F 0.4220 0.3364 0.1989
F 0.6636 0.5780 0.8011
F 0.6649 0.0853 0.2001
F 0.9147 0.3351 0.7999
F 0.9161 0.5796 0.1991

Results
symmetry: C2
calculated density: 2828 kg/m³
energy: -3.868 eV/atom

---

(3)
Density functional theory data (PBE-GGA) for crystalline K2RbCuF4 at its relaxed geometry.

Cell: 6.5952 6.5952 13.1121 Å, 90.00 90.00 146.95°
Fractional coordinates of all 16 atoms:
K 0.1317 0.8683 0.5474
K 0.1317 0.8683 0.9526
K 0.8683 0.1317 0.0474
K 0.8683 0.1317 0.4526
Rb 0.3937 0.6063 0.7500
Rb 0.6063 0.3937 0.2500
Cu 0.3384 0.6616 0.2500
Cu 0.6616 0.3384 0.7500
F 0.0779 0.9221 0.7500
F 0.2331 0.7669 0.1285
F 0.2331 0.7669 0.3715
F 0.5000 0.5000 0.0000
F 0.5000 0.5000 0.5000
F 0.7669 0.2331 0.6285
F 0.7669 0.2331 0.8715
F 0.9221 0.0779 0.2500

Results
symmetry: Cmcm
calculated density: 3238 kg/m³
energy: -4.076 eV/atom